[1]
{
  "formula": "PmY5Sb6",
  "functional": "PBE-GGA",
  "state": "relaxed",
  "lattice_angstrom": [[7.632, 0.210, 0.000], [2.350, 7.267, 0.000], [1.175, 3.633, 6.614]],
  "species": ["Y", "Sb", "Pm", "Sb", "Sb", "Y", "Y", "Sb", "Sb", "Sb", "Y", "Y"],
  "fractional_positions": [[0.500, 0.165, 0.670], [0.747, 0.084, 0.337], [0.000, 0.000, 0.000], [0.253, 0.579, 0.337], [0.747, 0.421, 0.663], [0.500, 0.835, 0.330], [0.000, 0.667, 0.665], [0.749, 0.746, 0.000], [0.253, 0.916, 0.663], [0.251, 0.254, 0.000], [0.500, 0.500, 0.000], [0.000, 0.333, 0.335]],
  "formation_energy_uncorrected_ev_per_atom": -1.1677,
  "mass_density_g_cm3": 6.0,
  "dos_at_fermi_per_ev_cell": 1.96,
  "crystal_system": "monoclinic",
  "magmom_total_mub_per_fu": 0.0
}

---

[2]
{
  "formula": "Lu4Sb2N",
  "functional": "PBE-GGA",
  "state": "relaxed",
  "lattice_angstrom": [[4.507, 0.000, 0.000], [0.000, 4.507, 0.000], [2.254, 2.254, 7.882]],
  "species": ["Lu", "Lu", "N", "Lu", "Sb", "Sb", "Lu"],
  "fractional_positions": [[0.000, 0.500, 0.000], [0.837, 0.837, 0.326], [0.000, 0.000, 0.000], [0.163, 0.163, 0.674], [0.357, 0.357, 0.286], [0.643, 0.643, 0.714], [0.500, 0.000, 0.000]],
  "formation_energy_uncorrected_ev_per_atom": -1.0352,
  "mass_density_g_cm3": 9.9,
  "dos_at_fermi_per_ev_cell": 5.47,
  "crystal_system": "tetragonal",
  "magmom_total_mub_per_fu": 0.0
}

---

[3]
{
  "formula": "Sm6Ni2AgBr3",
  "functional": "PBE-GGA",
  "state": "relaxed",
  "lattice_angstrom": [[4.064, 0.000, 0.000], [0.000, 9.039, -0.133], [-2.032, -3.080, 9.140]],
  "species": ["Sm", "Sm", "Br", "Br", "Sm", "Sm", "Br", "Ni", "Sm", "Ag", "Ni", "Sm"],
  "fractional_positions": [[0.020, 0.252, 0.039], [0.663, 0.127, 0.325], [0.835, 0.165, 0.669], [0.500, 0.500, 0.000], [0.980, 0.748, 0.961], [0.319, 0.444, 0.638], [0.165, 0.835, 0.331], [0.833, 0.662, 0.665], [0.337, 0.873, 0.675], [0.500, 0.000, 0.000], [0.167, 0.338, 0.335], [0.681, 0.556, 0.362]],
  "formation_energy_uncorrected_ev_per_atom": -0.7364,
  "mass_density_g_cm3": 6.8,
  "dos_at_fermi_per_ev_cell": 10.74,
  "crystal_system": "monoclinic",
  "magmom_total_mub_per_fu": 0.0
}

---

[4]
{
  "formula": "BeCuPd",
  "functional": "PBE-GGA",
  "state": "relaxed",
  "lattice_angstrom": [[2.779, 0.000, 0.000], [0.000, 2.779, 0.000], [-1.389, -1.389, 4.537]],
  "species": ["Cu", "Pd", "Be"],
  "fractional_positions": [[0.636, 0.636, 0.271], [0.932, 0.932, 0.864], [0.282, 0.282, 0.565]],
  "mass_density_g_cm3": 8.5,
  "polymorph_energy_ev_per_atom": 0.000,
  "delta_e_f_ev_per_atom": -0.304,
  "dos_at_fermi_per_ev_cell": 0.65,
  "crystal_system": "tetragonal",
  "magmom_total_mub_per_fu": 0.0
}

---

[5]
{
  "formula": "Sr5UN5",
  "functional": "PBE-GGA",
  "state": "relaxed",
  "lattice_angstrom": [[5.208, 0.000, 0.000], [-2.604, 5.908, -0.041], [0.000, -2.258, 7.071]],
  "species": ["N", "Sr", "N", "Sr", "N", "U", "Sr", "Sr", "Sr", "N", "N"],
  "fractional_positions": [[0.863, 0.726, 0.143], [0.329, 0.658, 0.154], [0.864, 0.727, 0.725], [0.327, 0.654, 0.690], [0.136, 0.273, 0.275], [0.000, 0.000, 0.000], [0.673, 0.346, 0.310], [0.000, 0.000, 0.500], [0.671, 0.342, 0.846], [0.500, 0.000, 0.000], [0.137, 0.274, 0.857]],
  "formation_energy_uncorrected_ev_per_atom": -0.8791,
  "mass_density_g_cm3": 5.7,
  "dos_at_fermi_per_ev_cell": 1.91,
  "crystal_system": "monoclinic",
  "magmom_total_mub_per_fu": 0.2
}

---

[6]
{
  "formula": "MgAlCl",
  "functional": "PBE-GGA",
  "state": "relaxed",
  "lattice_angstrom": [[3.370, 0.000, 0.000], [-1.685, 2.796, 0.000], [0.000, 0.000, 16.733]],
  "species": ["Al", "Cl", "Al", "Mg", "Cl", "Mg"],
  "fractional_positions": [[0.670, 0.341, 0.359], [0.220, 0.440, 0.094], [0.670, 0.341, 0.641], [0.559, 0.118, 0.000], [0.220, 0.440, 0.906], [0.327, 0.653, 0.500]],
  "formation_energy_uncorrected_ev_per_atom": -0.5165,
  "mass_density_g_cm3": 1.8,
  "polymorph_energy_ev_per_atom": 0.000,
  "dos_at_fermi_per_ev_cell": 2.53,
  "crystal_system": "orthorhombic",
  "magmom_total_mub_per_fu": 0.0
}

---

[7]
{
  "formula": "CuSb2Cl",
  "functional": "PBE-GGA",
  "state": "relaxed",
  "lattice_angstrom": [[6.421, -0.004, -0.001], [3.681, 5.262, 0.001], [-4.528, -3.633, 2.744]],
  "species": ["Sb", "Sb", "Cu", "Cl"],
  "fractional_positions": [[0.065, 0.065, 0.000], [0.435, 0.435, 0.000], [0.250, 0.750, 0.500], [0.750, 0.250, 0.500]],
  "formation_energy_uncorrected_ev_per_atom": 0.0544,
  "mass_density_g_cm3": 6.1,
  "polymorph_energy_ev_per_atom": 0.203,
  "dos_at_fermi_per_ev_cell": 1.45,
  "crystal_system": "orthorhombic",
  "magmom_total_mub_per_fu": 0.0
}

---

[8]
{
  "formula": "Ac5Pm",
  "functional": "PBE-GGA",
  "state": "relaxed",
  "lattice_angstrom": [[5.584, 0.000, 0.000], [0.000, 5.554, 0.000], [0.000, -2.777, 8.361]],
  "species": ["Ac", "Ac", "Ac", "Ac", "Pm", "Ac"],
  "fractional_positions": [[0.000, 0.663, 0.327], [0.500, 0.500, 0.000], [0.500, 0.165, 0.330], [0.000, 0.337, 0.673], [0.000, 0.000, 0.000], [0.500, 0.835, 0.670]],
  "mass_density_g_cm3": 8.2,
  "delta_e_f_ev_per_atom": 0.026,
  "dos_at_fermi_per_ev_cell": 11.17,
  "crystal_system": "orthorhombic",
  "magmom_total_mub_per_fu": 0.0
}

---

[9]
{
  "formula": "MnSnIrPt",
  "functional": "PBE-GGA",
  "state": "relaxed",
  "lattice_angstrom": [[2.831, 0.000, 0.000], [0.000, 2.844, 0.000], [0.000, 0.000, 15.633]],
  "species": ["Mn", "Pt", "Sn", "Mn", "Ir", "Pt", "Sn", "Ir"],
  "fractional_positions": [[0.000, 0.500, 0.760], [0.000, 0.500, 0.531], [0.500, 0.500, 0.381], [0.000, 0.000, 0.260], [0.500, 0.000, 0.661], [0.000, 0.000, 0.031], [0.500, 0.000, 0.881], [0.500, 0.500, 0.161]],
  "mass_density_g_cm3": 14.8,
  "delta_e_f_ev_per_atom": 0.059,
  "dos_at_fermi_per_ev_cell": 7.16,
  "crystal_system": "orthorhombic",
  "magmom_total_mub_per_fu": 0.0
}

---

[10]
{
  "formula": "Mg2GaSn",
  "functional": "PBE-GGA",
  "state": "relaxed",
  "lattice_angstrom": [[-3.556, 2.599, 1.505], [-3.718, -2.034, 1.926], [-0.245, 0.527, 5.710]],
  "species": ["Sn", "Ga", "Mg", "Mg"],
  "fractional_positions": [[0.489, 0.489, 0.532], [0.679, 0.679, 0.962], [0.270, 0.270, 0.191], [0.062, 0.062, 0.815]],
  "mass_density_g_cm3": 4.1,
  "delta_e_f_ev_per_atom": -0.039,
  "dos_at_fermi_per_ev_cell": 1.95,
  "crystal_system": "trigonal",
  "magmom_total_mub_per_fu": 0.0
}

---

[11]
{
  "formula": "Cr2ReW",
  "functional": "PBE-GGA",
  "state": "relaxed",
  "lattice_angstrom": [[4.970, -0.007, 0.002], [-2.154, 4.479, 0.002], [0.479, 0.761, 2.488]],
  "species": ["Re", "Cr", "Cr", "W"],
  "fractional_positions": [[0.500, 0.000, 0.500], [0.000, 0.000, 0.000], [0.500, 0.500, 0.000], [0.000, 0.500, 0.500]],
  "mass_density_g_cm3": 14.2,
  "delta_e_f_ev_per_atom": 0.089,
  "dos_at_fermi_per_ev_cell": 3.95,
  "crystal_system": "monoclinic",
  "magmom_total_mub_per_fu": 0.0
}

---

[12]
{
  "formula": "Pm3TiTl4Se8",
  "functional": "PBE-GGA",
  "state": "relaxed",
  "lattice_angstrom": [[8.354, 0.000, 0.000], [0.000, 9.127, 0.537], [-4.177, -4.173, 5.910]],
  "species": ["Pm", "Tl", "Se", "Pm", "Se", "Se", "Se", "Se", "Se", "Se", "Tl", "Tl", "Tl", "Ti", "Se", "Pm"],
  "fractional_positions": [[0.500, 0.500, 0.000], [0.000, 0.000, 0.500], [0.222, 0.702, 0.443], [0.000, 0.500, 0.500], [0.262, 0.286, 0.524], [0.241, 0.298, 0.020], [0.759, 0.702, 0.980], [0.222, 0.702, 0.980], [0.778, 0.298, 0.020], [0.778, 0.298, 0.557], [0.500, 0.000, 0.500], [0.500, 0.000, 0.000], [0.000, 0.000, 0.000], [0.000, 0.500, 0.000], [0.738, 0.714, 0.476], [0.500, 0.500, 0.500]],
  "formation_energy_uncorrected_ev_per_atom": -1.2075,
  "mass_density_g_cm3": 6.8,
  "dos_at_fermi_per_ev_cell": 6.16,
  "crystal_system": "trigonal",
  "magmom_total_mub_per_fu": 1.0
}

---

[13]
{
  "formula": "CaPm3Ag2",
  "functional": "PBE-GGA",
  "state": "relaxed",
  "lattice_angstrom": [[-1.915, 2.874, -3.824], [-6.309, -3.697, 0.381], [-3.244, 6.181, 6.271]],
  "species": ["Pm", "Pm", "Ca", "Pm", "Ag", "Ca", "Pm", "Pm", "Ag", "Pm", "Ag", "Ag"],
  "fractional_positions": [[0.000, 0.481, 0.933], [0.000, 0.981, 0.067], [0.500, 0.520, 0.565], [0.000, 0.348, 0.320], [0.500, 0.240, 0.147], [0.500, 0.020, 0.435], [0.500, 0.154, 0.831], [0.500, 0.654, 0.169], [0.000, 0.758, 0.355], [0.000, 0.848, 0.680], [0.000, 0.258, 0.645], [0.500, 0.740, 0.853]],
  "mass_density_g_cm3": 6.5,
  "delta_e_f_ev_per_atom": -0.167,
  "dos_at_fermi_per_ev_cell": 13.05,
  "crystal_system": "orthorhombic",
  "magmom_total_mub_per_fu": 0.0
}

---

[14]
{
  "formula": "NaTlH6Ir",
  "functional": "PBE-GGA",
  "state": "relaxed",
  "lattice_angstrom": [[-2.668, -4.499, 1.964], [-0.448, -4.793, -2.603], [4.712, -0.916, 0.936]],
  "species": ["H", "H", "Ir", "H", "H", "H", "H", "Tl", "Na"],
  "fractional_positions": [[0.057, 0.511, 0.262], [0.555, 0.378, 0.314], [0.387, 0.315, 0.517], [0.298, 0.096, 0.606], [0.342, 0.623, 0.622], [0.246, 0.414, 0.787], [0.478, 0.068, 0.294], [0.888, 0.995, 0.034], [0.749, 0.600, 0.563]],
  "energy_ev_per_atom": -3.681,
  "mass_density_g_cm3": 6.1,
  "dos_at_fermi_per_ev_cell": 1.33,
  "crystal_system": "triclinic",
  "magmom_total_mub_per_fu": 0.0
}